Entry 1:
{
  "formula": "Tb4CdCo2",
  "functional": "GGA-PBE",
  "state": "optimized geometry",
  "crystal_system": "triclinic",
  "lattice": [[6.932, 0.000, 0.000], [-0.511, 7.107, 0.000], [-1.465, -1.382, 6.983]],
  "species": ["Tb", "Tb", "Tb", "Tb", "Tb", "Tb", "Tb", "Tb", "Cd", "Cd", "Co", "Co", "Co", "Co"],
  "fractional_positions": [[0.000, 0.000, 0.000], [0.026, 0.393, 0.382], [0.401, 0.402, 0.039], [0.478, 0.100, 0.639], [0.533, 0.902, 0.102], [0.570, 0.582, 0.515], [0.887, 0.477, 0.898], [0.920, 0.976, 0.488], [0.197, 0.757, 0.281], [0.212, 0.720, 0.729], [0.292, 0.148, 0.299], [0.639, 0.247, 0.345], [0.717, 0.225, 0.035], [0.766, 0.629, 0.226]]
}

***

Entry 2:
{
  "formula": "Tb5Cd2Co2",
  "functional": "GGA-PBE",
  "state": "optimized geometry",
  "crystal_system": "orthorhombic",
  "lattice": [[8.243, -3.626, 0.000], [8.243, 3.626, 0.000], [0.000, 0.000, 7.417]],
  "species": ["Tb", "Tb", "Tb", "Tb", "Tb", "Tb", "Tb", "Tb", "Tb", "Tb", "Cd", "Cd", "Cd", "Cd", "Co", "Co", "Co", "Co"],
  "fractional_positions": [[0.000, 0.000, 0.000], [0.067, 0.697, 0.686], [0.197, 0.567, 0.186], [0.303, 0.933, 0.686], [0.433, 0.803, 0.186], [0.500, 0.500, 0.500], [0.567, 0.197, 0.814], [0.697, 0.067, 0.314], [0.803, 0.433, 0.814], [0.933, 0.303, 0.314], [0.225, 0.225, 0.000], [0.275, 0.275, 0.500], [0.725, 0.725, 0.500], [0.775, 0.775, 0.000], [0.107, 0.893, 0.388], [0.393, 0.607, 0.888], [0.607, 0.393, 0.112], [0.893, 0.107, 0.612]]
}

***

DFT formation energy (computed, eV/atom): -0.1210, -0.2116